Compound: RbSr2P2
Source: Alexandria via LeMat-Bulk
Functional: PBE
Structure: relaxed

Summary:
Symmetry: P4/mbm, No. 127
Energy of formation, eV per atom: -0.666
Excess energy over the best structure of this formula in the dataset, kcal/mol of atoms: 0.00

abc: 8.953 8.953 3.583
angles: 90.00 90.00 90.00
Atoms (fractional coordinates):
1 Rb 0.000 0.000 0.000
2 Rb 0.500 0.500 0.000
3 Sr 0.133 0.367 0.000
4 Sr 0.367 0.867 0.000
5 Sr 0.633 0.133 0.000
6 Sr 0.867 0.633 0.000
7 P 0.165 0.665 0.500
8 P 0.335 0.165 0.500
9 P 0.665 0.835 0.500
10 P 0.835 0.335 0.500

=====

Compound: LaSmEr2Tl4
Source: Alexandria via LeMat-Bulk
Functional: PBE
Structure: relaxed

Summary:
Symmetry: R-3m, No. 166
Energy of formation, eV per atom: -0.353

abc: 9.449 9.449 9.449
angles: 33.46 33.46 33.46
Atoms (fractional coordinates):
1 La 0.000 0.000 0.000
2 Sm 0.500 0.500 0.500
3 Er 0.250 0.250 0.250
4 Er 0.750 0.750 0.750
5 Tl 0.126 0.126 0.126
6 Tl 0.377 0.377 0.377
7 Tl 0.623 0.623 0.623
8 Tl 0.874 0.874 0.874

=====

Compound: Li2NiMo
Source: Alexandria via LeMat-Bulk
Functional: PBE
Structure: relaxed

Summary:
Symmetry: P4/mmm, No. 123
Energy of formation, eV per atom: 0.276
Excess energy over the best structure of this formula in the dataset, kcal/mol of atoms: 2.79

abc: 2.523 2.523 8.544
angles: 90.00 90.00 90.00
Atoms (fractional coordinates):
1 Li 0.000 0.000 0.220
2 Li 0.000 0.000 0.780
3 Ni 0.500 0.500 0.000
4 Mo 0.500 0.500 0.500

=====

Compound: Ce2Ge3Pd
Source: Alexandria via LeMat-Bulk
Functional: PBE
Structure: relaxed

Summary:
Symmetry: Pmm2, No. 25
Energy of formation, eV per atom: -0.761
Excess energy over the best structure of this formula in the dataset, kcal/mol of atoms: 0.00

abc: 4.047 4.405 7.340
angles: 90.00 90.00 90.00
Atoms (fractional coordinates):
1 Ce 0.000 0.000 0.000
2 Ce 0.000 0.500 0.497
3 Ge 0.500 0.000 0.330
4 Ge 0.500 0.000 0.669
5 Ge 0.500 0.500 0.165
6 Pd 0.500 0.500 0.828

=====

Compound: Ti2GeN
Source: Alexandria via LeMat-Bulk
Functional: PBE
Structure: relaxed

Summary:
Formation energy (no corrections), eV per atom: 0.122
Symmetry: Fm-3m, No. 225

abc: 4.238 4.238 4.238
angles: 60.00 60.00 60.00
Atoms (fractional coordinates):
1 Ti 0.250 0.250 0.250
2 Ti 0.750 0.750 0.750
3 Ge 0.000 0.000 0.000
4 N 0.500 0.500 0.500

=====

Compound: Cs2NpO6
Source: Alexandria via LeMat-Bulk
Functional: PBE
Structure: relaxed

Summary:
Formation energy (no corrections), eV per atom: -1.906
Symmetry: C2/m, No. 12
Excess energy over the best structure of this formula in the dataset, kcal/mol of atoms: 0.00

abc: 7.429 7.429 5.049
angles: 109.65 109.65 51.74
Atoms (fractional coordinates):
1 Cs 0.166 0.166 0.167
2 Cs 0.834 0.834 0.833
3 Np 0.500 0.500 0.500
4 O 0.187 0.590 0.389
5 O 0.396 0.604 0.000
6 O 0.410 0.813 0.611
7 O 0.590 0.187 0.389
8 O 0.604 0.396 0.000
9 O 0.813 0.410 0.611

=====

Compound: Nb2GaP
Source: Alexandria via LeMat-Bulk
Functional: PBE
Structure: relaxed

Summary:
Symmetry: R-3m, No. 166
Energy of formation, eV per atom: -0.436
Excess energy over the best structure of this formula in the dataset, kcal/mol of atoms: 1.73

abc: 6.615 6.615 6.615
angles: 31.35 31.35 31.35
Atoms (fractional coordinates):
1 Nb 0.237 0.237 0.237
2 Nb 0.763 0.763 0.763
3 Ga 0.000 0.000 0.000
4 P 0.500 0.500 0.500

=====

no.,uncorrected energy (eV/atom),density of states at the Fermi level (states/eV per atom)
1,-3.696,0.1810
2,-3.882,0.8080
3,-4.834,1.0721
4,-5.913,1.8645
5,-7.061,1.3380
6,-6.839,0.1992
7,-7.580,0.6381